## Dy3ErSn2C2 (GGA-PBE)

Data for crystalline Dy3ErSn2C2 at its relaxed geometry.

**Magnetization**: 0.03 μB per formula unit
**Calculated volume**: 22.33 A^3/atom
**Raw total energy**: -6.149 eV/atom

Structure (extended XYZ):
```
8
Lattice="3.610 0.000 0.000 -1.805 3.126 0.000 0.000 0.000 15.832" Properties=species:S:1:pos:R:3 pbc="T T T"
C 0.000 2.084 7.917
C 0.000 2.084 15.823
Dy 1.805 1.042 6.574
Dy 1.805 1.042 1.335
Dy 0.000 0.000 9.259
Sn 0.000 0.000 3.957
Sn 1.805 1.042 11.883
Er 0.000 0.000 14.496
```

***

## Er3ReTe5 (GGA-PBE)

Data for crystalline Er3ReTe5 at its relaxed geometry.

**Magnetization**: 0.01 μB per formula unit
**E above lowest polymorph**: 16 meV per atom
**Calculated volume**: 27.33 A^3/atom

Structure (extended XYZ):
```
9
Lattice="-7.734 -2.239 3.188 3.120 -4.013 -7.011 1.661 -2.582 2.217" Properties=species:S:1:pos:R:3 pbc="T T T"
Te -2.737 -6.126 -1.848
Te -0.922 -1.798 1.831
Te 0.333 -4.713 -2.503
Te 1.538 -2.201 -0.481
Te -3.285 -4.121 0.897
Er 2.006 -2.580 -4.507
Er -1.648 -2.233 -1.365
Er -4.972 -1.439 2.050
Re 0.000 0.000 0.000
```

***

## NdZnInTe3 (GGA-PBE)

Data for crystalline NdZnInTe3 at its relaxed geometry.

**Magnetization**: 0.01 μB per formula unit
**E above lowest polymorph**: 2 meV per atom
**Calculated volume**: 33.35 A^3/atom

Structure (extended XYZ):
```
12
Lattice="7.700 -2.197 0.000 7.700 2.197 0.000 0.000 0.000 11.829" Properties=species:S:1:pos:R:3 pbc="T T T"
Zn 7.190 0.000 8.872
Zn 8.210 0.000 2.957
In 3.733 0.000 2.957
In 11.668 0.000 8.872
Te 5.562 0.000 11.004
Te 9.838 0.000 5.090
Te 14.228 0.000 2.957
Te 9.838 0.000 0.824
Te 1.172 0.000 8.872
Te 5.562 0.000 6.739
Nd 0.000 0.000 5.914
Nd 0.000 0.000 0.000
```

***

## Sm3Er3CoTe2 (GGA-PBE)

Data for crystalline Sm3Er3CoTe2 at its relaxed geometry.

**Magnetization**: 0.00 μB per formula unit
**E above lowest polymorph**: 0 meV per atom
**Calculated volume**: 26.92 A^3/atom

Structure (extended XYZ):
```
9
Lattice="8.402 0.000 0.000 -4.201 7.277 0.000 0.000 0.000 3.963" Properties=species:S:1:pos:R:3 pbc="T T T"
Sm 3.369 0.000 0.000
Sm -1.685 2.918 0.000
Sm 2.517 4.359 0.000
Co 0.000 0.000 0.000
Te 0.000 4.851 1.981
Te 4.201 2.426 1.981
Er -3.229 5.594 1.981
Er 6.459 0.000 1.981
Er 0.972 1.683 1.981
```

***

## Rb2Pr (GGA-PBE)

Data for crystalline Rb2Pr at its relaxed geometry.

**Magnetization**: 3.00 μB per formula unit
**Calculated volume**: 80.86 A^3/atom
**Raw total energy**: -1.252 eV/atom

Structure (extended XYZ):
```
3
Lattice="0.000 4.950 4.950 4.950 0.000 4.950 4.950 4.950 0.000" Properties=species:S:1:pos:R:3 pbc="T T T"
Pr 0.000 0.000 0.000
Rb 7.425 7.425 7.425
Rb 2.475 2.475 2.475
```

***

## GaCu2Te4Ir (GGA-PBE)

Data for crystalline GaCu2Te4Ir at its relaxed geometry.

**Magnetization**: 0.01 μB per formula unit
**Calculated volume**: 27.23 A^3/atom
**Raw total energy**: -4.041 eV/atom

Structure (extended XYZ):
```
8
Lattice="-3.003 3.003 6.039 3.003 -3.003 6.039 3.003 3.003 -6.039" Properties=species:S:1:pos:R:3 pbc="T T T"
Ga 0.000 0.000 0.000
Ir 3.003 0.000 3.020
Te 1.561 1.549 1.569
Te 1.454 -1.442 4.470
Te 1.442 1.454 7.608
Te 1.549 4.445 -1.569
Cu 0.000 0.000 6.039
Cu 0.000 3.003 3.020
```

***

## MgGaAg (GGA-PBE)

Data for crystalline MgGaAg at its relaxed geometry.

**Calculated volume**: 21.71 A^3/atom
**Raw total energy**: -2.346 eV/atom

Structure (extended XYZ):
```
3
Lattice="0.000 3.194 3.194 3.194 0.000 3.194 3.194 3.194 0.000" Properties=species:S:1:pos:R:3 pbc="T T T"
Ga 4.790 4.790 4.790
Mg 0.000 0.000 0.000
Ag 1.597 1.597 1.597
```

***

## Lu3Co (GGA-PBE)

Data for crystalline Lu3Co at its relaxed geometry.

**Magnetization**: 0.61 μB per formula unit
**Calculated volume**: 22.74 A^3/atom
**ΔH_f (0 K)**: 0.222 eV/atom

Structure (extended XYZ):
```
4
Lattice="0.213 -3.577 -3.555 -3.463 -3.671 -0.097 -3.456 -0.112 -3.677" Properties=species:S:1:pos:R:3 pbc="T T T"
Lu 0.000 0.000 0.000
Lu -3.353 -3.680 -3.665
Lu -1.677 -1.840 -1.832
Co -5.030 -5.520 -5.497
```

***

## Tl2FeHgBr6 (GGA-PBE)

Data for crystalline Tl2FeHgBr6 at its relaxed geometry.

**Magnetization**: 4.12 μB per formula unit
**Calculated volume**: 32.18 A^3/atom
**Raw total energy**: -2.868 eV/atom

Structure (extended XYZ):
```
10
Lattice="0.000 5.439 5.439 5.439 0.000 5.439 5.439 5.439 0.000" Properties=species:S:1:pos:R:3 pbc="T T T"
Br 8.307 5.439 5.439
Br 5.439 2.571 5.439
Br 2.571 5.439 5.439
Br 5.439 5.439 8.307
Br 5.439 5.439 2.571
Br 5.439 8.307 5.439
Fe 0.000 0.000 0.000
Hg 5.439 5.439 5.439
Tl 8.158 8.158 8.158
Tl 2.719 2.719 2.719
```

***

## BaPmOs (GGA-PBE)

Data for crystalline BaPmOs at its relaxed geometry.

**Magnetization**: 0.00 μB per formula unit
**E above lowest polymorph**: 0 meV per atom
**Calculated volume**: 30.42 A^3/atom

Structure (extended XYZ):
```
3
Lattice="0.000 3.573 3.573 3.573 0.000 3.573 3.573 3.573 0.000" Properties=species:S:1:pos:R:3 pbc="T T T"
Pm 5.360 5.360 5.360
Os 0.000 0.000 0.000
Ba 1.787 1.787 1.787
```

***

## GdCoSn (GGA-PBE)

Data for crystalline GdCoSn at its relaxed geometry.

**Magnetization**: 0.04 μB per formula unit
**Calculated volume**: 20.73 A^3/atom
**Raw total energy**: -5.669 eV/atom

Structure (extended XYZ):
```
6
Lattice="-2.182 0.703 3.916 3.805 -2.472 -0.065 3.768 5.771 1.063" Properties=species:S:1:pos:R:3 pbc="T T T"
Co 1.718 2.560 3.126
Co 1.829 -1.384 1.267
Gd 2.821 4.319 0.795
Gd 0.936 1.434 0.264
Sn 3.679 1.450 1.789
Sn 3.568 5.394 3.648
```

***

## HoEr3Sn2C2 (GGA-PBE)

Data for crystalline HoEr3Sn2C2 at its relaxed geometry.

**Magnetization**: 0.03 μB per formula unit
**Calculated volume**: 21.90 A^3/atom
**Raw total energy**: -6.163 eV/atom

Structure (extended XYZ):
```
8
Lattice="-1.417 -0.564 3.248 3.137 -1.505 -0.875 7.585 12.611 5.500" Properties=species:S:1:pos:R:3 pbc="T T T"
Er 7.045 10.667 6.909
Er 4.533 6.490 5.087
Er 4.773 4.052 2.786
C 7.582 12.606 5.498
C 3.793 6.306 2.751
Sn 7.308 8.266 4.624
Sn 2.001 2.280 3.251
Ho 2.260 -0.126 0.964
```